PBE RbAs6Pd12, relaxed; energy of formation from the pure elements = -0.344 eV/atom; E_tot = -5.14 eV per atom; M_tot = 0.00 μB/f.u.
1.0
-2.485 -5.872 -3.587
0.337 -2.230 6.959
-5.679 4.611 -0.072
As Pd Rb
6 12 1
Direct
0.670 0.237 0.237 As
0.763 0.330 0.763 As
0.237 0.237 0.670 As
0.763 0.763 0.330 As
0.330 0.763 0.763 As
0.237 0.670 0.237 As
0.453 0.453 0.176 Pd
0.500 0.873 0.127 Pd
0.873 0.500 0.127 Pd
0.873 0.127 0.500 Pd
0.824 0.547 0.547 Pd
0.127 0.873 0.500 Pd
0.500 0.127 0.873 Pd
0.127 0.500 0.873 Pd
0.176 0.453 0.453 Pd
0.453 0.176 0.453 Pd
0.547 0.547 0.824 Pd
0.547 0.824 0.547 Pd
0.000 0.000 0.000 Rb

---

PBE Te3AsI, relaxed; E_tot = -1.95 eV per atom; M_tot = 1.31 μB/f.u.; formation energy from raw total energies = 1.17 eV per atom
1.0
-0.431 -5.152 -2.739
3.586 -2.400 3.951
-4.603 -1.388 3.335
As Te I
1 3 1
Direct
0.500 0.500 0.500 As
0.000 0.000 0.500 Te
0.000 0.500 0.000 Te
0.500 0.000 0.000 Te
0.000 0.000 0.000 I

---

PBE CaTaSe2N, relaxed; E_tot = -4.65 eV per atom; M_tot = 0.00 μB/f.u.; formation energy from raw total energies = 1.18 eV per atom
1.0
-3.393 3.872 0.932
-2.368 -0.976 -4.562
-2.402 -2.536 1.789
Se N Ta Ca
2 1 1 1
Direct
0.000 0.500 0.000 Se
0.500 0.000 0.000 Se
0.000 0.000 0.500 N
0.500 0.500 0.500 Ta
0.000 0.000 0.000 Ca

---

PBE LiLa2Cr, relaxed; energy of formation from the pure elements = 0.412 eV/atom; E_tot = -4.94 eV per atom; M_tot = 2.76 μB/f.u.
1.0
-3.474 1.584 -0.636
-3.257 -1.815 -1.038
-3.567 -1.301 9.077
Cr La Li
1 2 1
Direct
0.250 0.250 0.250 Cr
0.509 0.509 0.463 La
0.991 0.991 0.037 La
0.750 0.750 0.750 Li

---

PBE Dy2Tm3Th3, relaxed; energy of formation from the pure elements = 0.034 eV/atom; E_tot = -5.58 eV per atom; M_tot = 0.00 μB/f.u.
1.0
-4.275 -2.360 -1.054
0.947 -3.322 3.595
-3.185 8.655 5.381
Th Tm Dy
3 3 2
Direct
0.500 0.000 0.000 Th
0.376 0.376 0.753 Th
0.624 0.624 0.247 Th
0.000 0.500 0.000 Tm
0.876 0.876 0.751 Tm
0.124 0.124 0.249 Tm
0.750 0.250 0.500 Dy
0.250 0.750 0.500 Dy

---

PBE Rb3Pd2Pb7, relaxed; energy of formation from the pure elements = -0.122 eV/atom; E_tot = -3.39 eV per atom; M_tot = 0.00 μB/f.u.
1.0
-1.607 -4.525 -1.222
6.042 -2.049 -0.360
-3.692 -2.184 12.944
Pd Pb Rb
2 7 3
Direct
0.000 0.336 0.184 Pd
0.000 0.664 0.816 Pd
0.000 0.000 0.000 Pb
0.000 0.773 0.201 Pb
0.500 0.118 0.190 Pb
0.000 0.789 0.632 Pb
0.500 0.882 0.810 Pb
0.000 0.211 0.368 Pb
0.000 0.227 0.799 Pb
0.500 0.500 0.000 Rb
0.500 0.700 0.395 Rb
0.500 0.300 0.605 Rb

---

PBE SrCd2Br, relaxed; E_tot = -1.96 eV per atom; M_tot = 0.00 μB/f.u.; formation energy from raw total energies = -0.66 eV per atom
1.0
6.155 0.000 0.000
0.000 4.446 0.000
0.000 0.000 4.446
Br Cd Sr
1 2 1
Direct
0.500 0.000 0.500 Br
0.000 0.000 0.000 Cd
0.000 0.500 0.500 Cd
0.500 0.500 0.000 Sr

---

PBE VPdS2, relaxed; E_tot = -6.26 eV per atom; M_tot = 0.00 μB/f.u.; formation energy from raw total energies = -0.62 eV per atom
1.0
-4.617 4.159 -0.798
-3.537 -4.032 4.811
1.265 2.150 1.942
S Pd V
4 2 2
Direct
0.611 0.723 0.286 S
0.628 0.159 0.440 S
0.131 0.898 0.900 S
0.132 0.447 0.717 S
0.397 0.321 0.081 Pd
0.819 0.471 0.307 Pd
0.237 0.687 0.301 V
0.502 0.930 0.878 V